Ta2VZn2O8 | GGA-PBEsol | optimized geometry

N(E_F): 0.21 states/eV per atom
Size of the total moment: 3.024 μB/f.u.
Raw formation energy: -2.234 eV per atom
Electronic total energy: -8.38 eV/atom
Space group: C2/c

a = 5.238 Å, b = 5.860 Å, c = 9.867 Å
α = 107.28°, β = 90.52°, γ = 90.00°
Element x y z (fractional)
Ta 0.260 0.958 0.227
Ta 0.240 0.731 0.773
Ta 0.740 0.042 0.773
Ta 0.760 0.269 0.227
V 0.250 0.363 0.000
V 0.750 0.637 0.000
Zn 0.232 0.127 0.563
Zn 0.268 0.564 0.437
Zn 0.768 0.873 0.437
Zn 0.732 0.436 0.563
O 0.919 0.946 0.134
O 0.581 0.812 0.866
O 0.081 0.054 0.866
O 0.419 0.188 0.134
O 0.415 0.679 0.112
O 0.085 0.567 0.888
O 0.585 0.321 0.888
O 0.915 0.433 0.112
O 0.566 0.077 0.354
O 0.934 0.723 0.646
O 0.066 0.277 0.354
O 0.434 0.923 0.646
O 0.637 0.547 0.386
O 0.863 0.161 0.614
O 0.363 0.453 0.614
O 0.137 0.839 0.386

---

Ta2W2O11 | GGA-PBEsol | optimized geometry

N(E_F): 0.00 states/eV per atom
Size of the total moment: 0.000 μB/f.u.
Raw formation energy: -2.371 eV per atom
Electronic total energy: -9.73 eV/atom
Space group: C2

a = 7.227 Å, b = 7.262 Å, c = 13.145 Å
α = 80.11°, β = 74.04°, γ = 60.16°
Element x y z (fractional)
Ta 0.470 0.971 0.541
Ta 0.785 0.304 0.228
Ta 0.982 0.029 0.459
Ta 0.317 0.696 0.772
W 0.975 0.000 0.000
W 0.040 0.477 0.988
W 0.504 0.523 0.012
W 0.458 0.500 0.500
O 0.915 0.780 0.023
O 0.576 0.439 0.351
O 0.276 0.792 0.028
O 0.384 0.282 0.530
O 0.540 0.447 0.149
O 0.193 0.067 0.503
O 0.093 0.936 0.854
O 0.993 0.115 0.317
O 0.294 0.422 0.024
O 0.922 0.450 0.146
O 0.197 0.718 0.470
O 0.752 0.291 0.517
O 0.135 0.553 0.851
O 0.740 0.578 0.976
O 0.763 0.933 0.497
O 0.883 0.064 0.146
O 0.518 0.550 0.854
O 0.560 0.709 0.483
O 0.425 0.885 0.683
O 0.717 0.220 0.977
O 0.365 0.561 0.649
O 0.096 0.208 0.972